1.
{"formula": "LiCa6Mg2", "functional": "PBE-GGA", "state": "relaxed", "e_tot_ev_per_atom": -1.91, "space_group": "No. 12", "delta_e_f_mev_per_atom": -6, "relative_energy_ev_per_fu": 0.161, "lattice_angstrom": [[-2.618, -0.627, -2.811], [-3.852, -7.541, 2.575], [-8.162, 3.662, 4.089]], "species": ["Ca", "Ca", "Ca", "Ca", "Ca", "Ca", "Li", "Mg", "Mg"], "frac_coords": [[0.043, 0.103, 0.812], [0.675, 0.196, 0.455], [0.706, 0.686, 0.902], [0.294, 0.314, 0.098], [0.325, 0.804, 0.545], [0.957, 0.897, 0.188], [0.000, 0.500, 0.500], [0.418, 0.432, 0.733], [0.582, 0.568, 0.267]]}

---

2.
{"formula": "Tb6Er2Tl", "functional": "PBE-GGA", "state": "relaxed", "e_tot_ev_per_atom": -4.40, "space_group": "No. 136", "delta_e_f_mev_per_atom": -39, "relative_energy_ev_per_fu": 0.238, "lattice_angstrom": [[-4.011, -1.744, 2.170], [1.683, -9.473, -4.501], [5.817, -2.950, 8.383]], "species": ["Tb", "Tb", "Tb", "Tb", "Tb", "Tb", "Tb", "Tb", "Tb", "Tb", "Tb", "Tb", "Er", "Er", "Er", "Er", "Tl", "Tl"], "frac_coords": [[0.500, 0.161, 0.661], [0.000, 0.665, 0.499], [0.500, 0.500, 0.665], [0.000, 0.661, 0.839], [0.500, 0.835, 0.999], [0.500, 0.500, 0.335], [0.500, 0.839, 0.339], [0.500, 0.165, 0.001], [0.000, 0.339, 0.161], [0.000, 0.000, 0.835], [0.000, 0.335, 0.501], [0.000, 0.000, 0.165], [0.000, 0.337, 0.837], [0.500, 0.837, 0.663], [0.500, 0.163, 0.337], [0.000, 0.663, 0.163], [0.500, 0.500, 0.000], [0.000, 0.000, 0.500]]}